[1]
The following is a PBE-GGA calculation of a geometry-optimized SrInMo3 structure, from Alexandria.

extended XYZ file:
```
5
Lattice="4.836 0.000 0.000 0.000 4.836 0.000 0.000 0.000 4.836" Properties=species:S:1:pos:R:3 pbc="T T T"
Sr 0.000 0.000 0.000
In 2.418 2.418 2.418
Mo 0.000 0.000 2.418
Mo 0.000 2.418 0.000
Mo 2.418 0.000 0.000
```

Relative energy among the computed polymorphs: 0.764 eV/atom
Calculated total energy: -22.99 eV for the cell shown
Space-group type: Pm-3m (221)

---

[2]
The following is a PBE-GGA calculation of a geometry-optimized Ac3AgP2Pt6 structure, from Alexandria.

extended XYZ file:
```
12
Lattice="5.696 0.000 0.000 -2.848 4.933 0.000 0.000 0.000 10.204" Properties=species:S:1:pos:R:3 pbc="T T T"
Ac 0.000 0.000 0.000
Ac 0.000 3.289 6.108
Ac 2.848 1.644 4.096
Ag 0.000 0.000 5.102
P 0.000 3.289 1.189
P 2.848 1.644 9.016
Pt 0.000 1.607 2.815
Pt -1.456 4.130 2.815
Pt 1.392 0.804 7.389
Pt 1.456 4.130 2.815
Pt 4.304 0.804 7.389
Pt 2.848 3.326 7.389
```

Calculated total energy: -72.95 eV for the cell shown
Space-group type: P-3m1 (164)

---

no.,V (Å³/atom)
1,22.6
2,23.9